{"formula": "KZr2In", "functional": "PBE-GGA", "state": "relaxed", "energy_ev_per_atom": -4.43, "spacegroup": "I-42d", "total_magnetization_mub_per_cell": 0.00, "formation_enthalpy_0k_ev_per_fu": 3.23, "lattice": [[4.726, 0.000, 0.000], [0.000, 4.726, 0.000], [0.000, 0.000, 22.382]], "species": ["K", "K", "K", "K", "Zr", "Zr", "Zr", "Zr", "Zr", "Zr", "Zr", "Zr", "In", "In", "In", "In"], "frac_coords": [[0.000, 0.000, 0.000], [0.000, 0.500, 0.250], [0.500, 0.000, 0.750], [0.500, 0.500, 0.500], [0.133, 0.250, 0.625], [0.250, 0.633, 0.875], [0.250, 0.867, 0.375], [0.367, 0.250, 0.125], [0.633, 0.750, 0.125], [0.750, 0.133, 0.375], [0.750, 0.367, 0.875], [0.867, 0.750, 0.625], [0.000, 0.000, 0.500], [0.000, 0.500, 0.750], [0.500, 0.000, 0.250], [0.500, 0.500, 0.000]]}

{"formula": "KZr2In", "functional": "PBE-GGA", "state": "relaxed", "energy_ev_per_atom": -5.11, "spacegroup": "Pmm2", "total_magnetization_mub_per_cell": 0.00, "formation_enthalpy_0k_ev_per_fu": 0.49, "lattice": [[3.178, 0.000, 0.000], [0.000, 3.214, 0.000], [0.000, 0.000, 10.995]], "species": ["K", "Zr", "Zr", "In"], "frac_coords": [[0.000, 0.000, 0.000], [0.000, 0.000, 0.514], [0.500, 0.500, 0.321], [0.500, 0.500, 0.736]]}

{"formula": "K2ZrIn", "functional": "PBE-GGA", "state": "relaxed", "energy_ev_per_atom": -2.85, "spacegroup": "C2/m", "total_magnetization_mub_per_cell": 3.82, "formation_enthalpy_0k_ev_per_fu": 2.10, "lattice": [[6.518, 0.000, 0.000], [0.000, 13.112, 0.000], [-1.654, 0.000, 2.991]], "species": ["K", "K", "K", "K", "Zr", "Zr", "In", "In"], "frac_coords": [[0.250, 0.250, 0.000], [0.250, 0.750, 0.000], [0.750, 0.250, 0.000], [0.750, 0.750, 0.000], [0.000, 0.000, 0.500], [0.500, 0.500, 0.500], [0.000, 0.500, 0.500], [0.500, 0.000, 0.500]]}

Repeat the third record exactly.
{"formula": "K2ZrIn", "functional": "PBE-GGA", "state": "relaxed", "energy_ev_per_atom": -2.85, "spacegroup": "C2/m", "total_magnetization_mub_per_cell": 3.82, "formation_enthalpy_0k_ev_per_fu": 2.10, "lattice": [[6.518, 0.000, 0.000], [0.000, 13.112, 0.000], [-1.654, 0.000, 2.991]], "species": ["K", "K", "K", "K", "Zr", "Zr", "In", "In"], "frac_coords": [[0.250, 0.250, 0.000], [0.250, 0.750, 0.000], [0.750, 0.250, 0.000], [0.750, 0.750, 0.000], [0.000, 0.000, 0.500], [0.500, 0.500, 0.500], [0.000, 0.500, 0.500], [0.500, 0.000, 0.500]]}